# 1
PBE-GGA La4HoSe6, relaxed; space-group type = R-3c; formation energy (no corrections) = -1.889 eV/atom
1.0
6.001 3.465 4.815
-6.001 3.465 4.815
0.000 -6.929 4.815
La Ho Se
8 2 12
direct
0.132 0.750 0.368 La
0.250 0.250 0.250 La
0.250 0.632 0.868 La
0.368 0.132 0.750 La
0.632 0.868 0.250 La
0.750 0.368 0.132 La
0.750 0.750 0.750 La
0.868 0.250 0.632 La
0.000 0.000 0.000 Ho
0.500 0.500 0.500 Ho
0.061 0.918 0.685 Se
0.082 0.315 0.939 Se
0.185 0.418 0.561 Se
0.315 0.939 0.082 Se
0.418 0.561 0.185 Se
0.439 0.815 0.582 Se
0.561 0.185 0.418 Se
0.582 0.439 0.815 Se
0.685 0.061 0.918 Se
0.815 0.582 0.439 Se
0.918 0.685 0.061 Se
0.939 0.082 0.315 Se



# 2
PBE-GGA CsGeSe2, relaxed; space-group type = P1; formation energy (no corrections) = -0.731 eV/atom
1.0
6.766 0.000 0.000
3.356 5.937 0.000
0.020 3.658 7.785
Cs Ge Se
2 2 4
direct
0.000 0.000 0.000 Cs
0.216 0.569 0.668 Cs
0.482 0.039 0.460 Ge
0.831 0.351 0.502 Ge
0.102 0.413 0.318 Se
0.494 0.784 0.322 Se
0.565 0.857 0.760 Se
0.737 0.171 0.329 Se



# 3
PBE-GGA FeHg2WN, relaxed; space-group type = P4/mmm; formation energy (no corrections) = 1.044 eV/atom
1.0
5.429 0.000 0.000
0.000 5.429 0.000
0.000 0.000 3.799
Fe Hg W N
1 2 1 1
direct
0.000 0.000 0.000 Fe
0.000 0.500 0.500 Hg
0.500 0.000 0.500 Hg
0.500 0.500 0.500 W
0.500 0.500 0.000 N



# 4
PBE-GGA AcMgAgHg, relaxed; ΔH_f (0 K) = -328 meV/atom; space-group type = F-43m
1.0
0.000 3.769 3.769
3.769 0.000 3.769
3.769 3.769 0.000
Ac Mg Ag Hg
1 1 1 1
direct
0.000 0.000 0.000 Ac
0.500 0.500 0.500 Mg
0.750 0.750 0.750 Ag
0.250 0.250 0.250 Hg



Repeat the second record exactly.
PBE-GGA CsGeSe2, relaxed; space-group type = P1; formation energy (no corrections) = -0.731 eV/atom
1.0
6.766 0.000 0.000
3.356 5.937 0.000
0.020 3.658 7.785
Cs Ge Se
2 2 4
direct
0.000 0.000 0.000 Cs
0.216 0.569 0.668 Cs
0.482 0.039 0.460 Ge
0.831 0.351 0.502 Ge
0.102 0.413 0.318 Se
0.494 0.784 0.322 Se
0.565 0.857 0.760 Se
0.737 0.171 0.329 Se